Entry from Alexandria via LeMat-Bulk: a geometry-optimized ErUAsN2 structure (GGA-PBE).

a b c (Å): 3.8082 3.8082 6.4800
angles (deg): 107.09 107.09 90.00
Fractional coordinates of all 5 atoms:
1 N 0.7421 0.2421 0.4841
2 N 0.2421 0.7421 0.4841
3 Er 0.8476 0.8476 0.6951
4 U 0.1589 0.1589 0.3179
5 As 0.5094 0.5094 0.0188

Summary:
E_tot in eV for the cell shown: -43.9
DOS at the Fermi energy in states/eV per cell: 0.4

=====

Entry from Alexandria via LeMat-Bulk: a geometry-optimized PmHf2SbO8 structure (GGA-PBE).

a b c (Å): 4.9185 4.9163 6.6638
angles (deg): 90.00 90.00 88.88
Fractional coordinates of all 12 atoms:
1 O 0.8006 0.2007 0.7828
2 O 0.1994 0.7993 0.7828
3 O 0.1994 0.7993 0.2172
4 O 0.3254 0.3237 0.5000
5 O 0.2970 0.2958 0.0000
6 O 0.7030 0.7042 0.0000
7 O 0.6746 0.6763 0.5000
8 O 0.8006 0.2007 0.2172
9 Sb 0.0000 0.0000 0.0000
10 Hf 0.5000 0.5000 0.7526
11 Hf 0.5000 0.5000 0.2474
12 Pm 0.0000 0.0000 0.5000

Summary:
E_tot in eV for the cell shown: -102.9
DOS at the Fermi energy in states/eV per cell: 0.0

=====

Entry from Alexandria via LeMat-Bulk: a geometry-optimized AcGa3Tc structure (GGA-PBE).

a b c (Å): 4.8522 4.8522 4.8522
angles (deg): 90.00 90.00 90.00
Fractional coordinates of all 5 atoms:
1 Ga 0.0000 0.5000 0.0000
2 Ga 0.5000 0.0000 0.0000
3 Ga 0.0000 0.0000 0.5000
4 Ac 0.5000 0.5000 0.5000
5 Tc 0.0000 0.0000 0.0000

Summary:
Energy relative to the elements in eV/f.u.: -2.08
Relative energy among the computed polymorphs in meV per atom: 0
DOS at the Fermi energy in states/eV per cell: 1.7

=====

Entry from Alexandria via LeMat-Bulk: a geometry-optimized MgTlI2N structure (GGA-PBE).

a b c (Å): 6.2700 6.2700 4.1869
angles (deg): 90.00 90.00 90.00
Fractional coordinates of all 5 atoms:
1 I 0.0000 0.5000 0.0000
2 I 0.5000 0.0000 0.0000
3 N 0.0000 0.0000 0.5000
4 Mg 0.5000 0.5000 0.5000
5 Tl 0.0000 0.0000 0.0000

Summary:
Relative energy among the computed polymorphs in meV per atom: 732
DOS at the Fermi energy in states/eV per cell: 4.7

=====

Entry from Alexandria via LeMat-Bulk: a geometry-optimized Ga2SbCN structure (GGA-PBE).

a b c (Å): 3.9781 5.1818 3.9781
angles (deg): 90.00 90.00 90.00
Fractional coordinates of all 5 atoms:
1 C 0.0000 0.0000 0.0000
2 Sb 0.0000 0.5000 0.0000
3 Ga 0.0000 0.0000 0.5000
4 Ga 0.5000 0.0000 0.0000
5 N 0.5000 0.5000 0.5000

Summary:
E_tot in eV for the cell shown: -20.6
DOS at the Fermi energy in states/eV per cell: 2.4

=====

Entry from Alexandria via LeMat-Bulk: a geometry-optimized Zr6PtN2 structure (GGA-PBE).

a b c (Å): 4.4582 5.9960 7.4519
angles (deg): 70.73 72.59 68.18
Fractional coordinates of all 9 atoms:
1 N 0.8161 0.2812 0.0867
2 N 0.1839 0.7188 0.9133
3 Zr 0.3360 0.7559 0.5720
4 Zr 0.6640 0.2441 0.4280
5 Zr 0.3058 0.3068 0.0816
6 Zr 0.0246 0.1427 0.8081
7 Zr 0.9754 0.8573 0.1919
8 Zr 0.6942 0.6932 0.9184
9 Pt 0.0000 0.5000 0.5000

Summary:
E_tot in eV for the cell shown: -81.3
DOS at the Fermi energy in states/eV per cell: 7.1

=====

Entry from Alexandria via LeMat-Bulk: a geometry-optimized AcGdHoTh structure (GGA-PBE).

a b c (Å): 5.8142 5.8142 5.8142
angles (deg): 60.00 60.00 60.00
Fractional coordinates of all 4 atoms:
1 Gd 0.2500 0.2500 0.2500
2 Ac 0.5000 0.5000 0.5000
3 Th 0.0000 0.0000 0.0000
4 Ho 0.7500 0.7500 0.7500

Summary:
Energy relative to the elements in eV/f.u.: 0.60
DOS at the Fermi energy in states/eV per cell: 7.3

=====

Entry from Alexandria via LeMat-Bulk: a geometry-optimized Tc2MoRu structure (GGA-PBE).

a b c (Å): 4.7709 4.7709 4.7709
angles (deg): 131.85 131.85 70.47
Fractional coordinates of all 4 atoms:
1 Tc 0.2500 0.7500 0.5000
2 Tc 0.0000 0.0000 0.0000
3 Mo 0.5000 0.5000 0.0000
4 Ru 0.7500 0.2500 0.5000

Summary:
Energy relative to the elements in eV/f.u.: 0.33
Relative energy among the computed polymorphs in meV per atom: 66
DOS at the Fermi energy in states/eV per cell: 5.8

=====

Entry from Alexandria via LeMat-Bulk: a geometry-optimized Ce3PrSb2 structure (GGA-PBE).

a b c (Å): 4.2053 10.7739 9.4749
angles (deg): 124.16 90.00 101.25
Fractional coordinates of all 12 atoms:
1 Pr 0.1015 0.2029 0.0810
2 Pr 0.8985 0.7971 0.9190
3 Ce 0.2954 0.5908 0.5146
4 Ce 0.9297 0.8594 0.4747
5 Ce 0.7046 0.4092 0.4854
6 Ce 0.0703 0.1406 0.5253
7 Ce 0.6329 0.2657 0.7756
8 Ce 0.3671 0.7343 0.2244
9 Sb 0.5224 0.0447 0.2197
10 Sb 0.7413 0.4825 0.1982
11 Sb 0.4776 0.9553 0.7803
12 Sb 0.2587 0.5175 0.8018

Summary:
E_tot in eV for the cell shown: -69.6
DOS at the Fermi energy in states/eV per cell: 24.7

=====

Entry from Alexandria via LeMat-Bulk: a geometry-optimized TlCu2Sn2 structure (GGA-PBE).

a b c (Å): 7.6541 7.6541 3.6179
angles (deg): 90.00 90.00 90.00
Fractional coordinates of all 10 atoms:
1 Sn 0.3286 0.1714 0.5000
2 Sn 0.1714 0.6714 0.5000
3 Sn 0.6714 0.8286 0.5000
4 Sn 0.8286 0.3286 0.5000
5 Cu 0.1169 0.3831 0.0000
6 Cu 0.6169 0.1169 0.0000
7 Cu 0.3831 0.8831 0.0000
8 Cu 0.8831 0.6169 0.0000
9 Tl 0.5000 0.5000 0.0000
10 Tl 0.0000 0.0000 0.0000

Summary:
Energy relative to the elements in eV/f.u.: 0.80
Relative energy among the computed polymorphs in meV per atom: 0
DOS at the Fermi energy in states/eV per cell: 6.0

=====

Entry from Alexandria via LeMat-Bulk: a geometry-optimized K3Zr2CrSe6 structure (GGA-PBE).

a b c (Å): 6.8972 6.8972 7.9534
angles (deg): 98.33 98.33 120.00
Fractional coordinates of all 12 atoms:
1 Se 0.2627 0.2627 0.8037
2 Se 0.3929 0.0648 0.1950
3 Se 0.9352 0.6071 0.8050
4 Se 0.6071 0.9352 0.8050
5 Se 0.7373 0.7373 0.1963
6 Se 0.0648 0.3929 0.1950
7 K 0.5000 0.5000 0.5000
8 K 0.1678 0.8322 0.5000
9 K 0.8322 0.1678 0.5000
10 Cr 0.0000 0.0000 0.0000
11 Zr 0.3340 0.6660 0.0000
12 Zr 0.6660 0.3340 0.0000

Summary:
E_tot in eV for the cell shown: -64.7
DOS at the Fermi energy in states/eV per cell: 7.4

=====

Entry from Alexandria via LeMat-Bulk: a geometry-optimized Li2Hg2F7 structure (GGA-PBE).

a b c (Å): 5.3682 5.6153 5.7729
angles (deg): 101.48 103.96 84.05
Fractional coordinates of all 11 atoms:
1 F 0.2928 0.6283 0.8965
2 F 0.7470 0.0399 0.4695
3 F 0.7590 0.5922 0.6011
4 F 0.2530 0.9601 0.5305
5 F 0.2410 0.4078 0.3989
6 F 0.7072 0.3717 0.1035
7 F 0.0000 0.0000 0.0000
8 Hg 0.4708 0.6979 0.2849
9 Hg 0.5292 0.3021 0.7151
10 Li 0.0227 0.8280 0.6940
11 Li 0.9773 0.1720 0.3060

Summary:
E_tot in eV for the cell shown: -37.4
DOS at the Fermi energy in states/eV per cell: 3.2

=====

Entry from Alexandria via LeMat-Bulk: a geometry-optimized Zr2TaMn structure (GGA-PBE).

a b c (Å): 7.4149 7.4149 5.9472
angles (deg): 51.44 51.44 90.00
Fractional coordinates of all 8 atoms:
1 Zr 0.1679 0.6250 0.2500
2 Zr 0.5821 0.1250 0.2500
3 Zr 0.3750 0.4179 0.7500
4 Zr 0.8750 0.8321 0.7500
5 Mn 0.2500 0.7500 0.5000
6 Mn 0.5000 0.5000 0.0000
7 Ta 0.0000 0.0000 0.0000
8 Ta 0.7500 0.2500 0.5000

Summary:
Energy relative to the elements in eV/f.u.: 2.13
Relative energy among the computed polymorphs in meV per atom: 547
DOS at the Fermi energy in states/eV per cell: 7.5

=====

Entry from Alexandria via LeMat-Bulk: a geometry-optimized CaH2O2 structure (GGA-PBE).

a b c (Å): 3.8652 3.8652 4.8774
angles (deg): 90.00 90.00 120.00
Fractional coordinates of all 5 atoms:
1 O 0.6667 0.3333 0.2013
2 O 0.3333 0.6667 0.8133
3 Ca 0.0000 0.0000 0.9742
4 H 0.3333 0.6667 0.0153
5 H 0.6667 0.3333 0.4009

Summary:
Relative energy among the computed polymorphs in meV per atom: 185
DOS at the Fermi energy in states/eV per cell: 0.0

=====

Entry from Alexandria via LeMat-Bulk: a geometry-optimized NaAc12Pb6 structure (GGA-PBE).

a b c (Å): 10.0576 10.0576 10.0576
angles (deg): 110.75 110.75 110.75
Fractional coordinates of all 19 atoms:
1 Ac 0.6483 0.5195 0.8038
2 Ac 0.2735 0.9084 0.8144
3 Ac 0.9084 0.8144 0.2735
4 Ac 0.3517 0.4805 0.1962
5 Ac 0.1962 0.3517 0.4805
6 Ac 0.8038 0.6483 0.5195
7 Ac 0.1856 0.7265 0.0916
8 Ac 0.8144 0.2735 0.9084
9 Ac 0.7265 0.0916 0.1856
10 Ac 0.4805 0.1962 0.3517
11 Ac 0.0916 0.1856 0.7265
12 Ac 0.5195 0.8038 0.6483
13 Pb 0.4174 0.6482 0.9234
14 Pb 0.0766 0.5826 0.3518
15 Pb 0.5826 0.3518 0.0766
16 Pb 0.9234 0.4174 0.6482
17 Pb 0.3518 0.0766 0.5826
18 Pb 0.6482 0.9234 0.4174
19 Na 0.0000 0.0000 0.0000

Summary:
Energy relative to the elements in eV/f.u.: -4.01
DOS at the Fermi energy in states/eV per cell: 23.0

=====

Entry from Alexandria via LeMat-Bulk: a geometry-optimized Be2ReP structure (GGA-PBE).

a b c (Å): 3.0786 3.0787 4.6537
angles (deg): 90.00 90.00 90.00
Fractional coordinates of all 4 atoms:
1 Be 0.0000 0.0000 0.5020
2 Be 0.0000 0.0000 0.9980
3 P 0.5000 0.5000 0.2500
4 Re 0.5000 0.5000 0.7500

Summary:
Energy relative to the elements in eV/f.u.: -0.60
Relative energy among the computed polymorphs in meV per atom: 0
DOS at the Fermi energy in states/eV per cell: 1.0

=====

Entry from Alexandria via LeMat-Bulk: a geometry-optimized AcAlHg3 structure (GGA-PBE).

a b c (Å): 5.2127 7.0374 7.6858
angles (deg): 90.00 90.00 90.00
Fractional coordinates of all 10 atoms:
1 Hg 0.0000 0.7955 0.7866
2 Hg 0.0000 0.7045 0.2866
3 Hg 0.0000 0.2955 0.7134
4 Hg 0.5000 0.5000 0.0000
5 Hg 0.0000 0.2045 0.2134
6 Hg 0.5000 0.0000 0.5000
7 Al 0.0000 0.0000 0.5000
8 Al 0.0000 0.5000 0.0000
9 Ac 0.5000 0.5000 0.5000
10 Ac 0.5000 0.0000 0.0000

Summary:
Energy relative to the elements in eV/f.u.: -0.80
Relative energy among the computed polymorphs in meV per atom: 174
DOS at the Fermi energy in states/eV per cell: 4.8

=====

Entry from Alexandria via LeMat-Bulk: a geometry-optimized PrLuAgHg structure (GGA-PBE).

a b c (Å): 5.2635 5.2635 5.2635
angles (deg): 60.00 60.00 60.00
Fractional coordinates of all 4 atoms:
1 Ag 0.2500 0.2500 0.2500
2 Lu 0.0000 0.0000 0.0000
3 Pr 0.5000 0.5000 0.5000
4 Hg 0.7500 0.7500 0.7500

Summary:
Energy relative to the elements in eV/f.u.: -1.46
DOS at the Fermi energy in states/eV per cell: 3.7

=====

Entry from Alexandria via LeMat-Bulk: a geometry-optimized Pr3Tl2In4 structure (GGA-PBE).

a b c (Å): 4.5516 8.0732 8.0732
angles (deg): 120.00 90.00 90.00
Fractional coordinates of all 9 atoms:
1 Pr 0.5000 0.6030 0.6030
2 Pr 0.5000 0.3970 0.0000
3 Pr 0.5000 0.0000 0.3970
4 In 0.0000 0.7459 0.0000
5 In 0.0000 0.2541 0.2541
6 In 0.5000 0.0000 0.0000
7 In 0.0000 0.0000 0.7459
8 Tl 0.0000 0.6667 0.3333
9 Tl 0.0000 0.3333 0.6667

Summary:
Energy relative to the elements in eV/f.u.: -3.38
DOS at the Fermi energy in states/eV per cell: 6.2

=====

Entry from Alexandria via LeMat-Bulk: a geometry-optimized CaTcPd2 structure (GGA-PBE).

a b c (Å): 4.2204 4.2204 9.4278
angles (deg): 77.07 77.07 90.00
Fractional coordinates of all 8 atoms:
1 Ca 0.2500 0.7500 0.5000
2 Ca 0.5000 0.5000 0.0000
3 Tc 0.0000 0.0000 0.0000
4 Tc 0.7500 0.2500 0.5000
5 Pd 0.6621 0.1250 0.2500
6 Pd 0.0879 0.6250 0.2500
7 Pd 0.8750 0.9121 0.7500
8 Pd 0.3750 0.3379 0.7500

Summary:
Energy relative to the elements in eV/f.u.: 2.04
Relative energy among the computed polymorphs in meV per atom: 431
DOS at the Fermi energy in states/eV per cell: 5.0

=====

Entry from Alexandria via LeMat-Bulk: a geometry-optimized Li5Ca2Mg2Tl structure (GGA-PBE).

a b c (Å): 4.0253 11.1965 11.1965
angles (deg): 90.00 90.00 90.00
Fractional coordinates of all 20 atoms:
1 Li 0.5000 0.4432 0.3117
2 Li 0.5000 0.8117 0.9432
3 Li 0.5000 0.0000 0.5000
4 Li 0.5000 0.5568 0.6883
5 Li 0.5000 0.5000 0.0000
6 Li 0.5000 0.6883 0.4432
7 Li 0.5000 0.1883 0.0568
8 Li 0.5000 0.0568 0.8117
9 Li 0.5000 0.3117 0.5568
10 Li 0.5000 0.9432 0.1883
11 Ca 0.0000 0.8222 0.6778
12 Ca 0.0000 0.6778 0.1778
13 Ca 0.0000 0.3222 0.8222
14 Ca 0.0000 0.1778 0.3222
15 Tl 0.0000 0.5000 0.5000
16 Tl 0.0000 0.0000 0.0000
17 Mg 0.0000 0.6173 0.8827
18 Mg 0.0000 0.1173 0.6173
19 Mg 0.0000 0.3827 0.1173
20 Mg 0.0000 0.8827 0.3827

Summary:
Energy relative to the elements in eV/f.u.: -0.39
DOS at the Fermi energy in states/eV per cell: 11.5

=====

Entry from Alexandria via LeMat-Bulk: a geometry-optimized BaCdBi2 structure (GGA-PBE).

a b c (Å): 5.3275 5.3275 6.6900
angles (deg): 66.54 66.54 60.00
Fractional coordinates of all 4 atoms:
1 Cd 0.0000 0.0000 0.0000
2 Bi 0.2886 0.2886 0.1341
3 Bi 0.7114 0.7114 0.8659
4 Ba 0.5000 0.5000 0.5000

Summary:
Energy relative to the elements in eV/f.u.: -1.33
DOS at the Fermi energy in states/eV per cell: 4.1

=====

Entry from Alexandria via LeMat-Bulk: a geometry-optimized Rb2Sb3Pb6 structure (GGA-PBE).

a b c (Å): 5.1548 9.6191 9.6191
angles (deg): 120.00 90.00 90.00
Fractional coordinates of all 11 atoms:
1 Pb 0.5000 0.2761 0.0000
2 Pb 0.0000 0.2050 0.2050
3 Pb 0.0000 0.7950 0.0000
4 Pb 0.5000 0.7239 0.7239
5 Pb 0.5000 0.0000 0.2761
6 Pb 0.0000 0.0000 0.7950
7 Sb 0.5000 0.0000 0.6003
8 Sb 0.5000 0.6003 0.0000
9 Sb 0.5000 0.3997 0.3997
10 Rb 0.0000 0.6667 0.3333
11 Rb 0.0000 0.3333 0.6667

Summary:
E_tot in eV for the cell shown: -37.9
DOS at the Fermi energy in states/eV per cell: 3.7

=====

Entry from Alexandria via LeMat-Bulk: a geometry-optimized V2Si2Ir structure (GGA-PBE).

a b c (Å): 6.1452 6.1452 3.5840
angles (deg): 90.00 90.00 90.00
Fractional coordinates of all 10 atoms:
1 Si 0.1341 0.3659 0.0000
2 Si 0.8659 0.6341 0.0000
3 Si 0.6341 0.1341 0.0000
4 Si 0.3659 0.8659 0.0000
5 V 0.3344 0.1656 0.5000
6 V 0.6656 0.8344 0.5000
7 V 0.8344 0.3344 0.5000
8 V 0.1656 0.6656 0.5000
9 Ir 0.5000 0.5000 0.0000
10 Ir 0.0000 0.0000 0.0000

Summary:
E_tot in eV for the cell shown: -81.3
DOS at the Fermi energy in states/eV per cell: 9.4